Record 1
This record from the Alexandria database describes an optimized crystal structure of Re2Te. The functional is GGA-PBE.

Unit cell a=5.391 b=5.391 c=5.391 alpha=60.00 beta=60.00 gamma=60.00
Atoms (fractional coordinates):
Re 0.625 0.125 0.125
Re 0.125 0.625 0.125
Re 0.125 0.125 0.625
Re 0.125 0.125 0.125
Te 0.500 0.500 0.500
Te 0.750 0.750 0.750

Values from the calculation:
* magnetic moment: 0.00 μB/f.u.
* formation energy (no corrections): 1.030 eV/atom
* symmetry: Fd-3m
* V: 18.47 A^3/atom
* final energy: -8.315 eV per atom

=====

Record 2
This record from the Alexandria database describes an optimized crystal structure of Th4ReTe3. The functional is GGA-PBE.

Unit cell a=4.277 b=7.866 c=7.866 alpha=107.62 beta=90.00 gamma=90.00
Atoms (fractional coordinates):
Re 0.500 0.000 0.000
Te 0.000 0.000 0.500
Te 0.500 0.500 0.500
Te 0.000 0.500 0.000
Th 0.000 0.205 0.205
Th 0.500 0.773 0.227
Th 0.000 0.795 0.795
Th 0.500 0.227 0.773

Values from the calculation:
* magnetic moment: 0.00 μB/f.u.
* formation energy (no corrections): -0.814 eV/atom
* symmetry: Cmmm
* V: 31.53 A^3/atom
* final energy: -7.258 eV per atom

=====

Record 3
This record from the Alexandria database describes an optimized crystal structure of Th3ReTe2. The functional is GGA-PBE.

Unit cell a=7.530 b=8.023 c=7.508 alpha=81.03 beta=59.90 gamma=71.89
Atoms (fractional coordinates):
Th 0.560 0.212 0.368
Th 0.701 0.793 0.000
Th 0.440 0.788 0.632
Th 0.072 0.788 0.368
Th 0.928 0.212 0.632
Th 0.299 0.207 0.000
Re 0.332 0.000 0.337
Re 0.668 0.000 0.663
Te 0.000 0.000 0.000
Te 0.500 0.500 0.000
Te 0.845 0.500 0.310
Te 0.155 0.500 0.690

Values from the calculation:
* magnetic moment: 0.00 μB/f.u.
* formation energy (no corrections): -0.766 eV/atom
* symmetry: C2/m
* V: 31.09 A^3/atom
* final energy: -7.598 eV per atom

=====

Record 4
This record from the Alexandria database describes an optimized crystal structure of Th3ReTe. The functional is GGA-PBE.

Unit cell a=4.613 b=7.729 c=16.566 alpha=90.00 beta=90.00 gamma=90.00
Atoms (fractional coordinates):
Th 0.250 0.363 0.551
Th 0.750 0.824 0.210
Th 0.750 0.490 0.908
Th 0.750 0.990 0.592
Th 0.750 0.637 0.449
Th 0.250 0.010 0.408
Th 0.250 0.863 0.949
Th 0.750 0.324 0.290
Th 0.250 0.676 0.710
Th 0.250 0.176 0.790
Th 0.750 0.137 0.051
Th 0.250 0.510 0.092
Re 0.250 0.256 0.956
Re 0.250 0.756 0.544
Re 0.750 0.244 0.456
Re 0.750 0.744 0.044
Te 0.750 0.885 0.799
Te 0.250 0.115 0.201
Te 0.750 0.385 0.701
Te 0.250 0.615 0.299

Values from the calculation:
* magnetic moment: 0.00 μB/f.u.
* formation energy (no corrections): -0.398 eV/atom
* symmetry: Pnma
* V: 29.53 A^3/atom
* final energy: -7.968 eV per atom

=====

Record 5
This record from the Alexandria database describes an optimized crystal structure of Th6ReTe5. The functional is GGA-PBE.

Unit cell a=7.631 b=8.943 c=7.769 alpha=107.53 beta=99.76 gamma=123.96
Atoms (fractional coordinates):
Re 0.000 0.000 0.000
Te 0.312 0.812 0.624
Te 0.660 0.660 0.321
Te 0.000 0.500 0.000
Te 0.340 0.340 0.679
Te 0.688 0.188 0.376
Th 0.148 0.369 0.298
Th 0.150 0.928 0.298
Th 0.461 0.213 0.000
Th 0.539 0.787 0.000
Th 0.850 0.072 0.702
Th 0.852 0.631 0.702

Values from the calculation:
* magnetic moment: 0.00 μB/f.u.
* formation energy (no corrections): -0.927 eV/atom
* symmetry: C2/m
* V: 31.60 A^3/atom
* final energy: -6.983 eV per atom

=====

Record 6
This record from the Alexandria database describes an optimized crystal structure of Th5ReTe5. The functional is GGA-PBE.

Unit cell a=6.296 b=7.736 c=8.872 alpha=107.63 beta=90.00 gamma=114.01
Atoms (fractional coordinates):
Th 0.850 0.700 0.145
Th 0.854 0.707 0.704
Th 0.500 0.000 0.000
Th 0.146 0.293 0.296
Th 0.150 0.300 0.855
Re 0.000 0.000 0.000
Te 0.684 0.368 0.338
Te 0.658 0.317 0.812
Te 0.000 0.000 0.500
Te 0.342 0.683 0.188
Te 0.316 0.632 0.662

Values from the calculation:
* magnetic moment: 0.00 μB/f.u.
* formation energy (no corrections): -0.943 eV/atom
* symmetry: C2/m
* V: 33.85 A^3/atom
* final energy: -6.875 eV per atom

=====

Record 7
This record from the Alexandria database describes an optimized crystal structure of ThReTe. The functional is GGA-PBE.

Unit cell a=3.734 b=3.734 c=11.752 alpha=90.00 beta=90.00 gamma=90.00
Atoms (fractional coordinates):
Te 0.000 0.500 0.629
Te 0.500 0.000 0.371
Th 0.500 0.000 0.777
Th 0.000 0.500 0.223
Re 0.000 0.500 0.983
Re 0.500 0.000 0.017

Values from the calculation:
* magnetic moment: 0.00 μB/f.u.
* formation energy (no corrections): -0.223 eV/atom
* symmetry: P4/nmm
* V: 27.31 A^3/atom
* final energy: -7.893 eV per atom

=====

Record 8
This record from the Alexandria database describes an optimized crystal structure of Ti2ReTe2. The functional is GGA-PBE.

Unit cell a=7.217 b=7.217 c=3.696 alpha=90.00 beta=90.00 gamma=90.00
Atoms (fractional coordinates):
Re 0.000 0.000 0.000
Re 0.500 0.500 0.000
Te 0.164 0.664 0.500
Te 0.664 0.836 0.500
Te 0.836 0.336 0.500
Te 0.336 0.164 0.500
Ti 0.357 0.857 0.000
Ti 0.857 0.643 0.000
Ti 0.643 0.143 0.000
Ti 0.143 0.357 0.000

Values from the calculation:
* magnetic moment: 0.00 μB/f.u.
* formation energy (no corrections): 0.227 eV/atom
* symmetry: P4/mbm
* V: 19.25 A^3/atom
* final energy: -6.677 eV per atom

=====

Record 9
This record from the Alexandria database describes an optimized crystal structure of TiRe2Te4. The functional is GGA-PBE.

Unit cell a=5.448 b=5.448 c=7.572 alpha=68.91 beta=68.91 gamma=90.00
Atoms (fractional coordinates):
Re 0.589 0.589 0.823
Re 0.411 0.411 0.177
Te 0.791 0.791 0.417
Te 0.209 0.209 0.583
Te 0.000 0.500 0.000
Te 0.500 0.000 0.000
Ti 0.000 0.000 0.000

Values from the calculation:
* magnetic moment: 1.42 μB/f.u.
* formation energy (no corrections): 0.733 eV/atom
* symmetry: I4/mmm
* V: 27.64 A^3/atom
* final energy: -5.747 eV per atom

=====

Record 10
This record from the Alexandria database describes an optimized crystal structure of Ti2ReTe2. The functional is GGA-PBE.

Unit cell a=3.984 b=3.984 c=7.302 alpha=74.17 beta=74.17 gamma=90.00
Atoms (fractional coordinates):
Re 0.000 0.000 0.000
Te 0.750 0.250 0.500
Te 0.250 0.750 0.500
Ti 0.405 0.405 0.190
Ti 0.595 0.595 0.810

Values from the calculation:
* magnetic moment: 0.00 μB/f.u.
* formation energy (no corrections): 0.817 eV/atom
* symmetry: I4/mmm
* V: 21.39 A^3/atom
* final energy: -6.087 eV per atom

=====

Record 11
This record from the Alexandria database describes an optimized crystal structure of Ti4Re2Te. The functional is GGA-PBE.

Unit cell a=4.953 b=4.953 c=7.201 alpha=69.88 beta=69.88 gamma=90.00
Atoms (fractional coordinates):
Re 0.601 0.601 0.799
Re 0.399 0.399 0.201
Te 0.000 0.000 0.000
Ti 0.789 0.789 0.423
Ti 0.211 0.211 0.577
Ti 0.000 0.500 0.000
Ti 0.500 0.000 0.000

Values from the calculation:
* magnetic moment: 0.00 μB/f.u.
* formation energy (no corrections): 0.926 eV/atom
* symmetry: I4/mmm
* V: 22.05 A^3/atom
* final energy: -7.591 eV per atom

=====

Record 12
This record from the Alexandria database describes an optimized crystal structure of TiRe2Te. The functional is GGA-PBE.

Unit cell a=3.865 b=3.865 c=10.446 alpha=79.34 beta=79.34 gamma=90.00
Atoms (fractional coordinates):
Re 0.570 0.125 0.250
Re 0.180 0.625 0.250
Re 0.375 0.430 0.750
Re 0.875 0.820 0.750
Te 0.000 0.000 0.000
Te 0.750 0.250 0.500
Ti 0.500 0.500 0.000
Ti 0.250 0.750 0.500

Values from the calculation:
* magnetic moment: 0.00 μB/f.u.
* formation energy (no corrections): 0.574 eV/atom
* symmetry: I-42d
* V: 18.83 A^3/atom
* final energy: -8.409 eV per atom